[1]
This record from Alexandria via LeMat-Bulk describes crystalline NdYSiPd at its relaxed geometry. The functional is PBE.

Output
For the density of states at the Fermi level, the calculation gives 0.6499 states/eV per atom. Its formation energy without anion corrections is -0.79 eV per atom. Its crystal system is orthorhombic. The relative energy among the computed polymorphs comes out at 0.00 eV per formula unit.

```
data_NdYSiPd
_cell_length_a 4.266
_cell_length_b 4.087
_cell_length_c 10.913
_cell_angle_alpha 90.00
_cell_angle_beta 90.00
_cell_angle_gamma 90.00
_symmetry_space_group_name_H-M 'A m m 2'
_symmetry_Int_Tables_number 38
loop_
_symmetry_equiv_pos_as_xyz
'x,y,z'
'-x,-y,z'
'-x,y,z'
'x,-y,z'
'x,y+1/2,z+1/2'
'-x,-y+1/2,z+1/2'
'-x,y+1/2,z+1/2'
'x,-y+1/2,z+1/2'
loop_
_atom_site_label
_atom_site_type_symbol
_atom_site_fract_x
_atom_site_fract_y
_atom_site_fract_z
Nd1 Nd 0.000 0.000 0.000
Y1 Y 0.500 0.000 0.279
Si1 Si 0.500 0.000 0.569
Pd1 Pd 0.000 0.000 0.716
```

---

[2]
This record from Alexandria via LeMat-Bulk describes crystalline LaPr7Y3 at its relaxed geometry. The functional is PBE.

Output
For the density of states at the Fermi level, the calculation gives 1.4132 states/eV per atom. Its crystal system is monoclinic. The relative energy among the computed polymorphs comes out at 0.25 eV per formula unit.

```
data_LaPr7Y3
_cell_length_a 11.962
_cell_length_b 10.319
_cell_length_c 6.537
_cell_angle_alpha 90.00
_cell_angle_beta 95.82
_cell_angle_gamma 90.00
_symmetry_space_group_name_H-M 'C 1 2/m 1'
_symmetry_Int_Tables_number 12
loop_
_symmetry_equiv_pos_as_xyz
'x,y,z'
'-x,-y,-z'
'-x,y,-z'
'x,-y,z'
'x+1/2,y+1/2,z'
'-x+1/2,-y+1/2,-z'
'-x+1/2,y+1/2,-z'
'x+1/2,-y+1/2,z'
loop_
_atom_site_label
_atom_site_type_symbol
_atom_site_fract_x
_atom_site_fract_y
_atom_site_fract_z
La1 La 0.000 0.000 0.000
Pr1 Pr 0.000 0.000 0.500
Pr2 Pr 0.236 0.500 0.713
Pr3 Pr 0.248 0.325 0.240
Y1 Y 0.000 0.331 0.500
Y2 Y 0.000 0.500 0.000
```

---

[3]
This record from Alexandria via LeMat-Bulk describes crystalline NaCaCN2 at its relaxed geometry. The functional is PBE.

Output
For the density of states at the Fermi level, the calculation gives 0.4475 states/eV per atom. Its formation energy without anion corrections is 1.93 eV per atom. Its crystal system is tetragonal. The relative energy among the computed polymorphs comes out at 12.36 eV per formula unit.

```
data_NaCaCN2
_cell_length_a 4.685
_cell_length_b 4.685
_cell_length_c 4.902
_cell_angle_alpha 90.00
_cell_angle_beta 90.00
_cell_angle_gamma 90.00
_symmetry_space_group_name_H-M 'P 4/m m m'
_symmetry_Int_Tables_number 123
_symmetry_space_group_name_Hall '-P 4 2'
loop_
_atom_site_label
_atom_site_type_symbol
_atom_site_fract_x
_atom_site_fract_y
_atom_site_fract_z
Na1 Na 0.000 0.000 0.000
Ca1 Ca 0.500 0.500 0.500
C1 C 0.500 0.500 0.000
N1 N 0.000 0.500 0.500
```

---

[4]
This record from Alexandria via LeMat-Bulk describes crystalline AgHg2I5 at its relaxed geometry. The functional is PBE.

Output
Its formation energy without anion corrections is -0.26 eV per atom. Its crystal system is triclinic.

```
data_AgHg2I5
_cell_length_a 7.475
_cell_length_b 7.525
_cell_length_c 7.976
_cell_angle_alpha 70.46
_cell_angle_beta 68.92
_cell_angle_gamma 66.49
_symmetry_space_group_name_H-M 'P 1'
_symmetry_Int_Tables_number 1
loop_
_symmetry_equiv_pos_as_xyz
'x,y,z'
loop_
_atom_site_label
_atom_site_type_symbol
_atom_site_fract_x
_atom_site_fract_y
_atom_site_fract_z
Ag1 Ag 0.000 0.000 0.000
Hg1 Hg 0.027 0.508 0.567
Hg2 Hg 0.379 0.960 0.334
I1 I 0.134 0.799 0.663
I2 I 0.381 0.004 0.976
I3 I 0.428 0.286 0.412
I4 I 0.746 0.373 0.864
I5 I 0.834 0.712 0.262
```

---

[5]
This record from Alexandria via LeMat-Bulk describes crystalline TaCdP2 at its relaxed geometry. The functional is PBE.

Output
For the density of states at the Fermi level, the calculation gives 0.4450 states/eV per atom. Its crystal system is tetragonal.

```
data_TaCdP2
_cell_length_a 3.715
_cell_length_b 3.715
_cell_length_c 9.819
_cell_angle_alpha 90.00
_cell_angle_beta 90.00
_cell_angle_gamma 90.00
_symmetry_space_group_name_H-M 'I -4 m 2'
_symmetry_Int_Tables_number 119
_symmetry_space_group_name_Hall 'I -4 -2'
loop_
_atom_site_label
_atom_site_type_symbol
_atom_site_fract_x
_atom_site_fract_y
_atom_site_fract_z
Ta1 Ta 0.000 0.000 0.000
Cd1 Cd 0.000 0.500 0.750
P1 P 0.000 0.000 0.500
P2 P 0.000 0.500 0.250
```

---

[6]
This record from Alexandria via LeMat-Bulk describes crystalline Na2Pd2Ru at its relaxed geometry. The functional is PBE.

Output
For the density of states at the Fermi level, the calculation gives 0.7930 states/eV per atom. Its crystal system is tetragonal.

```
data_Na2Pd2Ru
_cell_length_a 8.039
_cell_length_b 8.039
_cell_length_c 2.693
_cell_angle_alpha 90.00
_cell_angle_beta 90.00
_cell_angle_gamma 90.00
_symmetry_space_group_name_H-M 'P 4/m b m'
_symmetry_Int_Tables_number 127
_symmetry_space_group_name_Hall '-P 4 2ab'
loop_
_atom_site_label
_atom_site_type_symbol
_atom_site_fract_x
_atom_site_fract_y
_atom_site_fract_z
Na1 Na 0.122 0.378 0.000
Pd1 Pd 0.180 0.680 0.500
Ru1 Ru 0.000 0.000 0.500
```

---

Calculated energy in order - -6.26, -5.05, -3.91, -1.66, -5.68, -3.91 eV/atom